SmHoPdRh | PBE | relaxed

total magnetic moment	0.00	Bohr magnetons per cell
calculated volume	21.4	A^3/atom
polymorph energy (0 for the lowest one)	16.3	meV per atom
total DFT energy (no corrections)	-6.29	eV per atom
formation energy from the elements	-3.305	eV per formula unit
D(E_F)	2.44	states/eV/cell

Cell: 4.945 4.945 4.945 Å, 60.00 60.00 60.00°
Fractional positions:
Sm1 0.000 0.000 0.000
Ho1 0.500 0.500 0.500
Pd1 0.250 0.250 0.250
Rh1 0.750 0.750 0.750

=====

LiAc2Zn3Ge4 | PBE | relaxed

total magnetic moment	0.00	Bohr magnetons per cell
calculated volume	21.3	A^3/atom
total DFT energy (no corrections)	-3.75	eV per atom
formation energy from the elements	-5.046	eV per formula unit
D(E_F)	2.33	states/eV/cell

Cell: 4.520 4.520 10.419 Å, 90.00 90.00 90.00°
Fractional positions:
Li1 0.000 0.000 0.000
Ac1 0.000 0.500 0.747
Ac2 0.500 0.000 0.253
Zn1 0.000 0.500 0.374
Zn2 0.500 0.000 0.626
Zn3 0.500 0.500 0.000
Ge1 0.000 0.000 0.500
Ge2 0.000 0.500 0.135
Ge3 0.500 0.000 0.865
Ge4 0.500 0.500 0.500

=====

FeBi2Au | PBE | relaxed

total magnetic moment	3.15	Bohr magnetons per cell
calculated volume	25.6	A^3/atom
total DFT energy (no corrections)	-4.21	eV per atom
formation energy from the elements	2.665	eV per formula unit
D(E_F)	4.73	states/eV/cell

Cell: 10.336 10.336 10.336 Å, 19.02 19.02 19.02°
Fractional positions:
Fe1 0.000 0.000 0.000
Bi1 0.090 0.090 0.090
Bi2 0.910 0.910 0.910
Au1 0.500 0.500 0.500

=====

MgMn2Hg2 | PBE | relaxed

total magnetic moment	15.42	Bohr magnetons per cell
calculated volume	19.5	A^3/atom
total DFT energy (no corrections)	-3.82	eV per atom
formation energy from the elements	1.423	eV per formula unit
D(E_F)	7.24	states/eV/cell

Cell: 7.701 7.701 3.280 Å, 90.00 90.00 90.00°
Fractional positions:
Mg1 0.000 0.000 0.000
Mg2 0.500 0.500 0.000
Mn1 0.125 0.375 0.000
Mn2 0.375 0.875 0.000
Mn3 0.625 0.125 0.000
Mn4 0.875 0.625 0.000
Hg1 0.173 0.673 0.500
Hg2 0.327 0.173 0.500
Hg3 0.673 0.827 0.500
Hg4 0.827 0.327 0.500

=====

CeDy2Zn | PBE | relaxed

total magnetic moment	1.17	Bohr magnetons per cell
calculated volume	26.3	A^3/atom
polymorph energy (0 for the lowest one)	125.3	meV per atom
total DFT energy (no corrections)	-4.10	eV per atom
formation energy from the elements	0.021	eV per formula unit
D(E_F)	7.70	states/eV/cell

Cell: 4.761 4.761 4.640 Å, 90.00 90.00 90.00°
Fractional positions:
Ce1 0.000 0.000 0.000
Dy1 0.000 0.500 0.500
Dy2 0.500 0.000 0.500
Zn1 0.500 0.500 0.000

=====

Dy3Y7Mg | PBE | relaxed

total magnetic moment	0.00	Bohr magnetons per cell
calculated volume	31.8	A^3/atom
polymorph energy (0 for the lowest one)	0.0	meV per atom
total DFT energy (no corrections)	-5.39	eV per atom
formation energy from the elements	1.306	eV per formula unit
D(E_F)	32.36	states/eV/cell

Cell: 9.822 9.822 11.109 Å, 90.00 90.00 40.69°
Fractional positions:
Dy1 0.000 0.000 0.000
Dy2 0.000 0.000 0.500
Dy3 0.229 0.248 0.251
Dy4 0.248 0.229 0.751
Dy5 0.752 0.771 0.251
Dy6 0.771 0.752 0.751
Y1 0.097 0.584 0.035
Y2 0.099 0.583 0.466
Y3 0.200 0.626 0.751
Y4 0.230 0.770 0.250
Y5 0.374 0.800 0.751
Y6 0.416 0.903 0.035
Y7 0.417 0.901 0.466
Y8 0.583 0.099 0.966
Y9 0.584 0.097 0.535
Y10 0.626 0.200 0.251
Y11 0.770 0.230 0.750
Y12 0.800 0.374 0.251
Y13 0.901 0.417 0.966
Y14 0.903 0.416 0.535
Mg1 0.500 0.500 0.000
Mg2 0.500 0.500 0.500

=====

Ag2HgPbCl8 | PBE | relaxed

total magnetic moment	0.00	Bohr magnetons per cell
calculated volume	28.6	A^3/atom
total DFT energy (no corrections)	-2.53	eV per atom
D(E_F)	5.17	states/eV/cell
raw formation energy	-488	meV/atom

Cell: 7.667 7.667 7.667 Å, 112.98 112.98 102.67°
Fractional positions:
Ag1 0.000 0.000 0.000
Ag2 0.750 0.250 0.500
Hg1 0.500 0.500 0.000
Pb1 0.250 0.750 0.500
Cl1 0.150 0.453 0.697
Cl2 0.194 0.001 0.808
Cl3 0.194 0.386 0.192
Cl4 0.547 0.244 0.697
Cl5 0.547 0.850 0.303
Cl6 0.614 0.806 0.808
Cl7 0.756 0.453 0.303
Cl8 0.999 0.806 0.192

=====

Na3HfSc3Se8 | PBE | relaxed

total magnetic moment	0.00	Bohr magnetons per cell
calculated volume	24.8	A^3/atom
total DFT energy (no corrections)	-5.59	eV per atom
raw formation energy	-1543	meV/atom

Cell: 8.379 8.379 8.379 Å, 55.45 55.45 55.45°
Fractional positions:
Na1 0.000 0.500 0.500
Na2 0.500 0.000 0.500
Na3 0.500 0.500 0.000
Hf1 0.500 0.500 0.500
Sc1 0.000 0.000 0.500
Sc2 0.000 0.500 0.000
Sc3 0.500 0.000 0.000
Se1 0.239 0.239 0.239
Se2 0.241 0.737 0.737
Se3 0.263 0.263 0.759
Se4 0.263 0.759 0.263
Se5 0.737 0.241 0.737
Se6 0.737 0.737 0.241
Se7 0.759 0.263 0.263
Se8 0.761 0.761 0.761

=====

PuMgPt | PBE | relaxed

total magnetic moment	5.66	Bohr magnetons per cell
calculated volume	24.8	A^3/atom
total DFT energy (no corrections)	-7.81	eV per atom
formation energy from the elements	-1.470	eV per formula unit
D(E_F)	12.10	states/eV/cell

Cell: 4.721 4.721 4.721 Å, 60.00 60.00 60.00°
Fractional positions:
Pu1 0.000 0.000 0.000
Mg1 0.500 0.500 0.500
Pt1 0.250 0.250 0.250

=====

K2Cu2Cl7 | PBE | relaxed

total magnetic moment	0.49	Bohr magnetons per cell
calculated volume	29.1	A^3/atom
polymorph energy (0 for the lowest one)	0.0	meV per atom
total DFT energy (no corrections)	-3.08	eV per atom
D(E_F)	4.10	states/eV/cell
raw formation energy	-964	meV/atom

Cell: 5.123 7.501 8.750 Å, 107.30 92.22 92.01°
Fractional positions:
K1 0.211 0.212 0.282
K2 0.789 0.788 0.718
Cu1 0.236 0.310 0.790
Cu2 0.764 0.690 0.210
Cl1 0.134 0.811 0.347
Cl2 0.275 0.515 0.657
Cl3 0.280 0.074 0.885
Cl4 0.500 0.500 0.000
Cl5 0.720 0.926 0.115
Cl6 0.725 0.485 0.343
Cl7 0.866 0.189 0.653

=====

ScGa3Ag | PBE | relaxed

total magnetic moment	0.00	Bohr magnetons per cell
calculated volume	19.0	A^3/atom
polymorph energy (0 for the lowest one)	0.0	meV per atom
total DFT energy (no corrections)	-3.87	eV per atom
formation energy from the elements	-1.094	eV per formula unit
D(E_F)	4.78	states/eV/cell

Cell: 12.690 12.690 3.540 Å, 90.00 90.00 160.53°
Fractional positions:
Sc1 0.178 0.822 0.000
Sc2 0.822 0.178 0.000
Ga1 0.055 0.945 0.500
Ga2 0.275 0.725 0.500
Ga3 0.451 0.549 0.000
Ga4 0.549 0.451 0.000
Ga5 0.725 0.275 0.500
Ga6 0.945 0.055 0.500
Ag1 0.376 0.624 0.500
Ag2 0.624 0.376 0.500